# 1
The following is a DFT calculation (PBE) of a geometry-optimized Sm9Y4Cd11 structure.

Values from the calculation:
For the total moment, the calculation gives 0.07 μB per atom. The calculation puts the formation energy at -0.247 eV per atom. As for the calculated total energy: -168.6 eV for the cell shown.

abc: 16.1471 23.1137 3.5689
angles: 90.00 90.00 90.00
Last column: nearest neighbours and their distance in Å.
Space group Cmmm (No. 65)
Asymmetric unit:
Sm (0.0000, 0.0000, 0.0000) [2 per cell]  4 Y 3.29, 4 Cd 3.50, 2 Sm 3.57
Sm (0.1133, 0.2341, 0.0000) [8 per cell]  8 Cd 3.28-3.51, 1 Y 3.50, 3 Sm 3.57-3.66
Sm (0.1158, 0.4094, 0.0000) [8 per cell]  8 Cd 3.26-3.33, 2 Sm 3.57, 1 Y 3.59
Y (0.1621, 0.0864, 0.0000) [8 per cell]  6 Cd 3.22-3.32, 3 Sm 3.29-3.59, 2 Y 3.57
Cd (0.0000, 0.1301, 0.5000) [4 per cell]  4 Y 3.32, 6 Sm 3.50-3.51, 2 Cd 3.57
Cd (0.0000, 0.3237, 0.5000) [4 per cell]  8 Sm 3.26-3.29, 2 Cd 3.57
Cd (0.0000, 0.5000, 0.5000) [2 per cell]  8 Sm 3.33, 4 Cd 3.57-3.67
Cd (0.2274, 0.5000, 0.5000) [4 per cell]  4 Y 3.22, 4 Sm 3.29, 2 Cd 3.57
Cd (0.2326, 0.3195, 0.5000) [8 per cell]  3 Cd 3.26-3.57, 6 Sm 3.28-3.33, 2 Y 3.29

***

# 2
The following is a DFT calculation (PBE) of a geometry-optimized SmY4Cd5 structure.

Values from the calculation:
For the total moment, the calculation gives 0.04 μB per atom. The calculation puts the formation energy at -0.345 eV per atom. As for the calculated total energy: -38.6 eV for the cell shown.

abc: 3.7575 3.7575 18.8880
angles: 90.00 90.00 90.00
Last column: nearest neighbours and their distance in Å.
Space group P4/mmm (No. 123)
Asymmetric unit:
Sm (0.0000, 0.0000, 0.0000) [1 per cell]  8 Cd 3.31
Y (0.0000, 0.0000, 0.2023) [2 per cell]  8 Cd 3.24-3.25
Y (0.0000, 0.0000, 0.4010) [2 per cell]  8 Cd 3.25
Cd (0.5000, 0.5000, 0.1046) [2 per cell]  4 Y 3.24, 4 Sm 3.31
Cd (0.5000, 0.5000, 0.3016) [2 per cell]  8 Y 3.25
Cd (0.5000, 0.5000, 0.5000) [1 per cell]  8 Y 3.25

***

# 3
The following is a DFT calculation (PBE) of a geometry-optimized Sm14YCd structure.

Values from the calculation:
For the total moment, the calculation gives 0.00 μB per atom. The calculation puts the formation energy at -0.008 eV per atom. As for the calculated total energy: -147.1 eV for the cell shown.

abc: 10.1917 10.1329 10.1369
angles: 90.00 90.00 90.00
Last column: nearest neighbours and their distance in Å.
Space group Amm2 (No. 38)
Asymmetric unit:
Sm (0.0000, 0.0000, 0.0000) [2 per cell]  12 Sm 3.58-3.63
Sm (0.0000, 0.0000, 0.5000) [2 per cell]  12 Sm 3.58-3.61
Sm (0.0000, 0.2501, 0.2501) [4 per cell]  12 Sm 3.58-3.62
Sm (0.2534, 0.0000, 0.2508) [4 per cell]  1 Cd 3.56, 10 Sm 3.57-3.62, 1 Y 3.58
Sm (0.2537, 0.0000, 0.7491) [4 per cell]  1 Cd 3.56, 10 Sm 3.57-3.63, 1 Y 3.57
Sm (0.2536, 0.2489, 0.5000) [8 per cell]  1 Cd 3.56, 10 Sm 3.57-3.63, 1 Y 3.57
Sm (0.5000, 0.2495, 0.2501) [4 per cell]  8 Sm 3.57, 2 Cd 3.58-3.59, 2 Y 3.58
Y (0.5000, 0.0000, 0.9998) [2 per cell]  12 Sm 3.57-3.58
Cd (0.5000, 0.0000, 0.4998) [2 per cell]  12 Sm 3.56-3.59

***

# 4
The following is a DFT calculation (PBE) of a geometry-optimized SmY5Cd3 structure.

Values from the calculation:
For the total moment, the calculation gives 0.00 μB per atom. The calculation puts the formation energy at -0.202 eV per atom. As for the calculated total energy: -83.2 eV for the cell shown.

abc: 9.2323 9.2323 6.9851
angles: 90.00 90.00 120.00
Last column: nearest neighbours and their distance in Å.
Space group P6_3/mcm (No. 193)
Asymmetric unit:
Sm (0.0000, 0.0000, 0.0000) [2 per cell]  2 Sm 3.49, 6 Y 3.53, 6 Cd 3.56
Y (0.0000, 0.3326, 0.2500) [6 per cell]  3 Cd 3.06-3.09
Y (0.3333, 0.6667, 0.0000) [4 per cell]  8 Y 3.49-3.54, 6 Cd 3.53
Cd (0.0000, 0.3363, 0.7500) [6 per cell]  3 Y 3.06-3.09

***

# 5
The following is a DFT calculation (PBE) of a geometry-optimized Sm3YCd2 structure.

Values from the calculation:
For the total moment, the calculation gives 0.04 μB per atom. The calculation puts the formation energy at -0.194 eV per atom. As for the calculated total energy: -23.6 eV for the cell shown.

abc: 3.7428 3.7428 12.7243
angles: 90.00 90.00 90.00
Last column: nearest neighbours and their distance in Å.
Space group P4/mmm (No. 123)
Asymmetric unit:
Sm (0.0000, 0.0000, 0.0000) [1 per cell]  8 Cd 3.29
Sm (0.0000, 0.0000, 0.3069) [2 per cell]  4 Cd 3.29, 4 Y 3.61
Y (0.5000, 0.5000, 0.5000) [1 per cell]  8 Sm 3.61, 4 Y 3.74
Cd (0.5000, 0.5000, 0.1537) [2 per cell]  8 Sm 3.29

***

# 6
The following is a DFT calculation (PBE) of a geometry-optimized Sm6YCd5 structure.

Values from the calculation:
For the total moment, the calculation gives 0.00 μB per atom. The calculation puts the formation energy at -0.222 eV per atom. As for the calculated total energy: -84.0 eV for the cell shown.

abc: 5.3611 7.8504 16.2734
angles: 90.00 90.00 90.00
Last column: nearest neighbours and their distance in Å.
Space group Immm (No. 71)
Asymmetric unit:
Sm (0.0000, 0.2302, 0.0000) [4 per cell]  6 Cd 3.23-3.29, 2 Y 3.42, 1 Sm 3.61
Sm (0.0000, 0.2565, 0.3287) [8 per cell]  7 Cd 3.29-3.44, 1 Y 3.44
Y (0.0000, 0.0000, 0.5000) [2 per cell]  8 Sm 3.42-3.44, 4 Cd 3.66
Cd (0.0000, 0.0000, 0.1689) [4 per cell]  8 Sm 3.29
Cd (0.0000, 0.5000, 0.1533) [4 per cell]  8 Sm 3.27-3.44, 2 Y 3.66
Cd (0.0000, 0.5000, 0.5000) [2 per cell]  8 Sm 3.23-3.38

***

# 7
The following is a DFT calculation (PBE) of a geometry-optimized Sm2YCd5 structure.

Values from the calculation:
For the total moment, the calculation gives 0.02 μB per atom. The calculation puts the formation energy at -0.311 eV per atom. As for the calculated total energy: -45.9 eV for the cell shown.

abc: 5.1494 5.1494 15.3654
angles: 90.00 90.00 90.00
Last column: nearest neighbours and their distance in Å.
Space group I4/mmm (No. 139)
Asymmetric unit:
Sm (0.0000, 0.0000, 0.2379) [4 per cell]  8 Cd 3.18-3.41
Y (0.0000, 0.0000, 0.5000) [2 per cell]  8 Cd 3.14
Cd (0.0000, 0.0000, 0.0000) [2 per cell]  8 Cd 3.14
Cd (0.0000, 0.5000, 0.1164) [8 per cell]  2 Cd 3.14, 2 Y 3.14, 4 Sm 3.18-3.41

***

# 8
The following is a DFT calculation (PBE) of a geometry-optimized SmYCd structure.

Values from the calculation:
For the total moment, the calculation gives 0.00 μB per atom. The calculation puts the formation energy at -0.082 eV per atom. As for the calculated total energy: -12.3 eV for the cell shown.

abc: 5.2892 5.2892 3.6324
angles: 90.00 90.00 120.00
Last column: nearest neighbours and their distance in Å.
Space group P3m1 (No. 156)
Asymmetric unit:
Sm (0.0000, 0.0000, 0.0000) [1 per cell]  3 Cd 3.25, 3 Y 3.45, 2 Sm 3.63
Y (0.3333, 0.6667, 0.5597) [1 per cell]  3 Cd 3.19, 3 Sm 3.45
Cd (0.6667, 0.3333, 0.3072) [1 per cell]  3 Y 3.19, 3 Sm 3.25

***

# 9
The following is a DFT calculation (PBE) of a geometry-optimized Sm6YCd2 structure.

Values from the calculation:
For the total moment, the calculation gives 0.00 μB per atom. The calculation puts the formation energy at -0.136 eV per atom. As for the calculated total energy: -75.7 eV for the cell shown.

abc: 12.8477 3.8015 12.0955
angles: 90.00 108.96 90.00
Last column: nearest neighbours and their distance in Å.
Space group C2/m (No. 12)
Asymmetric unit:
Sm (0.0177, 0.0000, 0.3376) [4 per cell]  2 Cd 3.25, 7 Sm 3.57-3.64
Sm (0.1860, 0.5000, 0.8766) [4 per cell]  2 Cd 3.28, 5 Sm 3.47-3.57
Sm (0.1891, 0.5000, 0.5868) [4 per cell]  2 Cd 3.34, 8 Sm 3.52-3.64
Y (0.0000, 0.0000, 0.0000) [2 per cell]  4 Cd 3.18
Cd (0.1430, 0.5000, 0.2029) [4 per cell]  2 Y 3.18, 6 Sm 3.25-3.34

***

# 10
The following is a DFT calculation (PBE) of a geometry-optimized SmYCd structure.

Values from the calculation:
For the total moment, the calculation gives 0.00 μB per atom. The calculation puts the formation energy at 0.081 eV per atom. As for the calculated total energy: -23.7 eV for the cell shown.

abc: 5.2067 5.2067 7.3462
angles: 90.00 90.00 90.00
Last column: nearest neighbours and their distance in Å.
Space group I-4m2 (No. 119)
Asymmetric unit:
Sm (0.0000, 0.0000, 0.0000) [2 per cell]  4 Cd 3.19
Y (0.0000, 0.0000, 0.5000) [2 per cell]  4 Cd 3.19
Cd (0.0000, 0.5000, 0.2500) [2 per cell]  4 Sm 3.19, 4 Y 3.19

***

# 11
The following is a DFT calculation (PBE) of a geometry-optimized Sm2Y3Cd4 structure.

Values from the calculation:
For the total moment, the calculation gives 0.00 μB per atom. The calculation puts the formation energy at -0.171 eV per atom. As for the calculated total energy: -136.1 eV for the cell shown.

abc: 6.8410 18.6403 8.1507
angles: 90.00 90.00 90.00
Last column: nearest neighbours and their distance in Å.
Space group Cmce (No. 64)
Asymmetric unit:
Sm (0.0000, 0.0923, 0.0985) [8 per cell]  5 Cd 3.33-3.72, 3 Y 3.68-3.70
Y (0.0000, 0.0000, 0.5000) [4 per cell]  6 Cd 3.01
Y (0.2500, 0.2457, 0.7500) [8 per cell]  5 Cd 3.09-3.18, 2 Y 3.42
Cd (0.0000, 0.1615, 0.4841) [8 per cell]  5 Y 3.01-3.18, 2 Cd 3.19
Cd (0.2500, 0.0753, 0.7500) [8 per cell]  3 Y 3.01-3.18, 2 Cd 3.19, 2 Sm 3.33

***

# 12
The following is a DFT calculation (PBE) of a geometry-optimized SmYZnCd structure.

Values from the calculation:
For the total moment, the calculation gives 0.00 μB per atom. The calculation puts the formation energy at -0.318 eV per atom. As for the calculated total energy: -58.6 eV for the cell shown.

abc: 7.4144 7.4144 7.4144
angles: 90.00 90.00 90.00
Last column: nearest neighbours and their distance in Å.
Space group F-43m (No. 216)
Asymmetric unit:
Sm (0.0000, 0.0000, 0.0000) [4 per cell]  4 Cd 3.21, 4 Zn 3.21
Y (0.0000, 0.0000, 0.5000) [4 per cell]  4 Zn 3.21, 4 Cd 3.21
Zn (0.2500, 0.2500, 0.7500) [4 per cell]  4 Sm 3.21, 4 Y 3.21
Cd (0.2500, 0.2500, 0.2500) [4 per cell]  4 Y 3.21, 4 Sm 3.21